No. 1
# PBE Hf2TlPd2, relaxed
# SG   I4/mmm
# Calculated formation energy   -0.24 eV per atom
data_Hf2TlPd2
_cell_length_a 6.231
_cell_length_b 6.231
_cell_length_c 6.231
_cell_angle_alpha 137.01
_cell_angle_beta 137.01
_cell_angle_gamma 62.43
_space_group_name_H-M_alt 'P 1'
_space_group_IT_number 1
loop_
_space_group_symop_operation_xyz
'x,y,z'
loop_
_atom_site_label
_atom_site_fract_x
_atom_site_fract_y
_atom_site_fract_z
Hf1 0.250 0.750 0.500
Hf2 0.750 0.250 0.500
Tl1 0.000 0.000 0.000
Pd1 0.379 0.379 0.000
Pd2 0.621 0.621 0.000

---

No. 2
# PBE TmHfTlPd, relaxed
# SG   F-43m
# Calculated formation energy   -0.30 eV per atom
data_TmHfTlPd
_cell_length_a 4.983
_cell_length_b 4.983
_cell_length_c 4.983
_cell_angle_alpha 60.00
_cell_angle_beta 60.00
_cell_angle_gamma 60.00
_space_group_name_H-M_alt 'P 1'
_space_group_IT_number 1
loop_
_space_group_symop_operation_xyz
'x,y,z'
loop_
_atom_site_label
_atom_site_fract_x
_atom_site_fract_y
_atom_site_fract_z
Tm1 0.000 0.000 0.000
Hf1 0.500 0.500 0.500
Tl1 0.750 0.750 0.750
Pd1 0.250 0.250 0.250

---

No. 3
# PBE HfZrTlPd, relaxed
# SG   P4mm
# Calculated formation energy   -0.28 eV per atom
data_HfZrTlPd
_cell_length_a 3.194
_cell_length_b 3.194
_cell_length_c 8.072
_cell_angle_alpha 90.00
_cell_angle_beta 90.00
_cell_angle_gamma 90.00
_space_group_name_H-M_alt 'P 1'
_space_group_IT_number 1
loop_
_space_group_symop_operation_xyz
'x,y,z'
loop_
_atom_site_label
_atom_site_fract_x
_atom_site_fract_y
_atom_site_fract_z
Hf1 0.000 0.000 0.000
Zr1 0.000 0.000 0.552
Tl1 0.500 0.500 0.277
Pd1 0.500 0.500 0.789

---

Please write out number 1 again, unchanged.
# PBE Hf2TlPd2, relaxed
# SG   I4/mmm
# Calculated formation energy   -0.24 eV per atom
data_Hf2TlPd2
_cell_length_a 6.231
_cell_length_b 6.231
_cell_length_c 6.231
_cell_angle_alpha 137.01
_cell_angle_beta 137.01
_cell_angle_gamma 62.43
_space_group_name_H-M_alt 'P 1'
_space_group_IT_number 1
loop_
_space_group_symop_operation_xyz
'x,y,z'
loop_
_atom_site_label
_atom_site_fract_x
_atom_site_fract_y
_atom_site_fract_z
Hf1 0.250 0.750 0.500
Hf2 0.750 0.250 0.500
Tl1 0.000 0.000 0.000
Pd1 0.379 0.379 0.000
Pd2 0.621 0.621 0.000

---

Q: Look up the calculated formation energy of the third one.
A: -0.28 eV per atom